(1)
Entry from Alexandria: a geometry-optimized CaCo4Pb structure (PBE).

Cell: 5.0469 5.0469 5.0469 Å, 60.00 60.00 60.00°
Closest atoms and distances in Å follow each position.
Fractional positions:
Ca 0.0000 0.0000 0.0000  12 Co 2.96, 4 Pb 3.09
Co 0.1252 0.6249 0.6249  6 Co 2.52
Co 0.6249 0.1252 0.6249  6 Co 2.52
Co 0.6249 0.6249 0.1252  6 Co 2.52
Co 0.6249 0.6249 0.6249  6 Co 2.52
Pb 0.2500 0.2500 0.2500  12 Co 2.96, 4 Ca 3.09

Calculated values
theoretical density: 8823 kg/m3
Fermi-level density of states: 9.865 states/eV/cell
energy of formation from the pure elements: 174 meV/atom
total energy: -5.514 eV/atom

***

(2)
Entry from Alexandria: a geometry-optimized Sc7Te2C2 structure (PBE).

Cell: 6.4646 6.4646 7.1358 Å, 94.87 94.87 112.55°
Closest atoms and distances in Å follow each position.
Fractional positions:
Sc 0.0000 0.0000 0.0000  2 C 2.29
Sc 0.0694 0.4556 0.8021  1 C 2.15
Sc 0.4182 0.4182 0.1844  2 C 2.24-2.29
Sc 0.4556 0.0694 0.8021  1 C 2.15
Sc 0.5444 0.9306 0.1979  1 C 2.15
Sc 0.5818 0.5818 0.8156  2 C 2.24-2.29
Sc 0.9306 0.5444 0.1979  1 C 2.15
Te 0.3157 0.6843 0.5000  6 Sc 2.95-2.99
Te 0.6843 0.3157 0.5000  6 Sc 2.95-2.99
C 0.2793 0.2793 0.8817  5 Sc 2.15-2.29
C 0.7207 0.7207 0.1183  5 Sc 2.15-2.29

Calculated values
theoretical density: 3624 kg/m3
Fermi-level density of states: 10.440 states/eV/cell
ΔE_f (raw): -0.39 eV per atom
total energy: -6.666 eV/atom

***

(3)
Entry from Alexandria: a geometry-optimized Ho4Ni2Ir structure (PBE).

Cell: 7.5088 7.5088 7.5088 Å, 109.20 109.18 110.03°
Closest atoms and distances in Å follow each position.
Fractional positions:
Ho 0.1935 0.2520 0.5585  3 Ni 2.69-2.78, 1 Ir 2.75
Ho 0.1935 0.6349 0.9415  3 Ni 2.69-2.78, 1 Ir 2.75
Ho 0.2522 0.1936 0.0586  3 Ni 2.69-2.78, 1 Ir 2.75
Ho 0.3650 0.8064 0.5586  3 Ni 2.69-2.78, 1 Ir 2.75
Ho 0.6350 0.1936 0.4414  3 Ni 2.69-2.78, 1 Ir 2.75
Ho 0.7478 0.8064 0.9414  3 Ni 2.69-2.78, 1 Ir 2.75
Ho 0.8065 0.3651 0.0585  3 Ni 2.69-2.78, 1 Ir 2.75
Ho 0.8065 0.7480 0.4415  3 Ni 2.69-2.78, 1 Ir 2.75
Ni 0.0000 0.5000 0.5000  6 Ho 2.69-2.78
Ni 0.5000 0.0000 0.0000  6 Ho 2.69-2.78
Ni 0.5000 0.5000 0.0000  6 Ho 2.69-2.78
Ni 0.5000 0.5000 0.5000  6 Ho 2.69-2.78
Ir 0.1245 0.8745 0.2500  4 Ho 2.75
Ir 0.8755 0.1255 0.7500  4 Ho 2.75

Calculated values
theoretical density: 9879 kg/m3
Fermi-level density of states: 10.843 states/eV/cell
energy of formation from the pure elements: -411 meV/atom
total energy: -5.944 eV/atom

***

(4)
Entry from Alexandria: a geometry-optimized PmGa2PbAu5 structure (PBE).

Cell: 4.5724 4.5724 8.9869 Å, 90.00 90.00 90.00°
Closest atoms and distances in Å follow each position.
Fractional positions:
Pm 0.0000 0.0000 0.0000  8 Au 3.32, 8 Ga 3.46
Ga 0.5000 0.5000 0.1373  1 Ga 2.47, 4 Au 2.57
Ga 0.5000 0.5000 0.8627  1 Ga 2.47, 4 Au 2.57
Pb 0.0000 0.0000 0.5000  12 Au 3.10-3.23
Au 0.0000 0.5000 0.2678  2 Ga 2.57
Au 0.0000 0.5000 0.7322  2 Ga 2.57
Au 0.5000 0.0000 0.2678  2 Ga 2.57
Au 0.5000 0.0000 0.7322  2 Ga 2.57
Au 0.5000 0.5000 0.5000  8 Au 3.10, 4 Pb 3.23, 2 Ga 3.26

Calculated values
theoretical density: 13049 kg/m3
Fermi-level density of states: 4.213 states/eV/cell
energy of formation from the pure elements: -369 meV/atom
total energy: -3.802 eV/atom

***

(5)
Entry from Alexandria: a geometry-optimized MgAuBr4 structure (PBE).

Cell: 6.2029 6.2029 6.2029 Å, 60.00 60.00 60.00°
Closest atoms and distances in Å follow each position.
Fractional positions:
Mg 0.0000 0.0000 0.0000  12 Br 3.64, 4 Au 3.80
Au 0.7500 0.7500 0.7500  12 Br 3.64, 4 Mg 3.80
Br 0.3754 0.3754 0.3754  6 Br 3.09-3.11
Br 0.3754 0.3754 0.8737  6 Br 3.09-3.11
Br 0.3754 0.8737 0.3754  6 Br 3.09-3.11
Br 0.8737 0.3754 0.3754  6 Br 3.09-3.11

Calculated values
excess energy over the best structure of this formula in the dataset: 1288.7 meV per atom
theoretical density: 5322 kg/m3
Fermi-level density of states: 7.058 states/eV/cell
ΔE_f (raw): 0.55 eV per atom
total energy: -1.373 eV/atom

***

(6)
Entry from Alexandria: a geometry-optimized BeC2 structure (PBE).

Cell: 2.7112 2.7112 3.4339 Å, 90.00 90.00 90.00°
Closest atoms and distances in Å follow each position.
Fractional positions:
Be 0.0000 0.0000 0.0000  6 C 1.72-1.92
C 0.0000 0.0000 0.5000  2 Be 1.72
C 0.5000 0.5000 0.0000  4 Be 1.92

Calculated values
excess energy over the best structure of this formula in the dataset: 2170.6 meV per atom
theoretical density: 2173 kg/m3
Fermi-level density of states: 1.632 states/eV/cell
energy of formation from the pure elements: 2557 meV/atom
total energy: -4.834 eV/atom